Ba2SmNpO6, relaxed, DFT GGA-PBE; space-group type = P2_1/c (14); E_form (uncorrected) = -3.0790 eV/atom; DFT total energy = -8.20 eV/atom
1.0
6.2577 0.0000 -0.0286
0.0000 6.2478 0.0000
0.0132 0.0000 8.8130
Ba O Np Sm
4 12 2 2
direct
0.5065 0.5200 0.7497
0.4935 0.4800 0.2503
0.0065 0.9800 0.2497
0.9935 0.0200 0.7503
0.7370 0.2844 0.9618
0.9274 0.5141 0.2392
0.7630 0.7844 0.5382
0.2370 0.2156 0.4618
0.2149 0.2346 0.0402
0.5726 0.0141 0.2608
0.7149 0.2654 0.5402
0.2630 0.7156 0.0382
0.4274 0.9859 0.7392
0.2851 0.7346 0.4598
0.7851 0.7654 0.9598
0.0726 0.4859 0.7608
0.5000 0.0000 0.5000
0.0000 0.5000 0.0000
0.5000 0.0000 0.0000
0.0000 0.5000 0.5000

***

Sr2GeH, relaxed, DFT GGA-PBE; space-group type = Fm-3m (225); DFT total energy = -3.05 eV/atom
1.0
-2.9224 -2.1738 3.8398
-2.3458 3.0820 3.6067
-5.2609 0.5758 -0.0307
Ge H Sr
1 1 2
direct
0.5000 0.5000 0.5000
0.0000 0.0000 0.0000
0.2500 0.2500 0.2500
0.7500 0.7500 0.7500

***

TcP2Pd, relaxed, DFT GGA-PBE; ΔE_f = -0.1550 eV/atom; space-group type = I-42d (122); DFT total energy = -6.75 eV/atom
1.0
-2.2900 1.5427 -4.5773
4.5656 -0.9625 -2.6086
-0.4286 -4.7029 -4.4921
P Pd Tc
4 2 2
direct
0.1380 0.6250 0.2500
0.8750 0.8620 0.7500
0.6120 0.1250 0.2500
0.3750 0.3880 0.7500
0.7500 0.2500 0.5000
0.0000 0.0000 0.0000
0.5000 0.5000 0.0000
0.2500 0.7500 0.5000

***

LiDy2Sn3Se6, relaxed, DFT GGA-PBE; space-group type = C2/m (12); E_form (uncorrected) = -0.9989 eV/atom; DFT total energy = -4.67 eV/atom
1.0
-3.0796 -2.8632 0.8653
4.9464 -6.1523 -2.7531
3.3515 2.2046 8.5729
Sn Se Dy Li
3 6 2 1
direct
0.8411 0.1444 0.6822
0.1589 0.8556 0.3178
0.5000 0.5000 0.0000
0.6649 0.0902 0.3297
0.3289 0.4330 0.6578
0.0061 0.2417 0.0123
0.9939 0.7583 0.9877
0.6711 0.5670 0.3422
0.3351 0.9098 0.6703
0.8350 0.6721 0.6701
0.1650 0.3279 0.3299
0.5000 0.0000 0.0000

***

- Among the records above, which one has the highest DFT total energy?
  Sr2GeH